# 1
VASP calculation (PBEsol) on a relaxed structure of InFePS2.

Calculated values
Symmetry   P4/mmm (123)
Fermi-level density of states   6.6 states/eV per cell
VASP energy   -4.087 eV/atom
Calculated volume   23.54 Å³/atom

a = 4.907 Å, b = 4.898 Å, c = 4.898 Å
α = 90.00°, β = 90.00°, γ = 90.00°
Positions (direct):
P  0.500  0.000  0.000
S  0.000  0.000  0.500
S  0.000  0.500  0.000
Fe  0.500  0.500  0.500
In  0.000  0.000  0.000

***

# 2
VASP calculation (PBEsol) on a relaxed structure of La2CdSi.

Calculated values
Symmetry   P4/mmm (123)
Fermi-level density of states   3.0 states/eV per cell
VASP energy   -4.880 eV/atom
Calculated volume   26.33 Å³/atom

a = 3.881 Å, b = 3.881 Å, c = 6.993 Å
α = 90.00°, β = 90.00°, γ = 90.00°
Positions (direct):
Si  0.500  0.500  0.000
Cd  0.500  0.500  0.500
La  0.000  0.000  0.783
La  0.000  0.000  0.217

***

Question: Fermi-level density of states of number 1 (InFePS2)?
Answer: 6.6 states/eV per cell

***

Question: Which value of Fermi-level density of states does entry 1 give?
Answer: 6.6 states/eV per cell